A plane-wave DFT calculation with PBEsol was carried out for an optimized crystal structure of AgTe2AsSe.

CIF file:
```
data_AgTe2AsSe
_chemical_formula_sum 'Ag1 Te2 As1 Se1'
_space_group_name_H-M_alt 'P 4/m m m'
_space_group_IT_number 123
_space_group_name_Hall '-P 4 2'
_cell_length_a 5.306
_cell_length_b 5.306
_cell_length_c 4.831
_cell_angle_alpha 90.00
_cell_angle_beta 90.00
_cell_angle_gamma 90.00
loop_
_atom_site_label
_atom_site_fract_x
_atom_site_fract_y
_atom_site_fract_z
_atom_site_occupancy
Ag1 0.000 0.000 0.000 1
Te1 0.000 0.500 0.000 1
As1 0.500 0.500 0.500 1
Se1 0.000 0.000 0.500 1
```

Calculated values
- formation energy (no corrections) (eV per atom) = 0.757
- mass density (Mg/m³) = 6.311
- relative energy among the computed polymorphs (meV/atom) = 73.1



A plane-wave DFT calculation with PBEsol was carried out for an optimized crystal structure of AgAsWSe2.

CIF file:
```
data_AgAsWSe2
_chemical_formula_sum 'Ag1 As1 W1 Se2'
_space_group_name_H-M_alt 'P 4/m m m'
_space_group_IT_number 123
_space_group_name_Hall '-P 4 2'
_cell_length_a 4.857
_cell_length_b 4.857
_cell_length_c 4.808
_cell_angle_alpha 90.00
_cell_angle_beta 90.00
_cell_angle_gamma 90.00
loop_
_atom_site_label
_atom_site_fract_x
_atom_site_fract_y
_atom_site_fract_z
_atom_site_occupancy
Ag1 0.000 0.000 0.000 1
As1 0.000 0.000 0.500 1
W1 0.500 0.500 0.500 1
Se1 0.000 0.500 0.000 1
```

Calculated values
- formation energy (no corrections) (eV per atom) = 1.569
- mass density (Mg/m³) = 7.680



A plane-wave DFT calculation with PBEsol was carried out for an optimized crystal structure of SiAg2As.

CIF file:
```
data_SiAg2As
_chemical_formula_sum 'Si4 Ag8 As4'
_space_group_name_H-M_alt 'F m -3 m'
_space_group_IT_number 225
_space_group_name_Hall '-F 4 2 3'
_cell_length_a 6.518
_cell_length_b 6.518
_cell_length_c 6.518
_cell_angle_alpha 90.00
_cell_angle_beta 90.00
_cell_angle_gamma 90.00
loop_
_atom_site_label
_atom_site_fract_x
_atom_site_fract_y
_atom_site_fract_z
_atom_site_occupancy
Si1 0.000 0.000 0.000 1
Ag1 0.250 0.250 0.250 1
As1 0.000 0.000 0.500 1
```

Calculated values
- formation energy (no corrections) (eV per atom) = 0.310
- mass density (Mg/m³) = 7.644



A plane-wave DFT calculation with PBEsol was carried out for an optimized crystal structure of AgSnAs3.

CIF file:
```
data_AgSnAs3
_chemical_formula_sum 'Ag1 Sn1 As3'
_space_group_name_H-M_alt 'P m -3 m'
_space_group_IT_number 221
_space_group_name_Hall '-P 4 2 3'
_cell_length_a 5.168
_cell_length_b 5.168
_cell_length_c 5.168
_cell_angle_alpha 90.00
_cell_angle_beta 90.00
_cell_angle_gamma 90.00
loop_
_atom_site_label
_atom_site_fract_x
_atom_site_fract_y
_atom_site_fract_z
_atom_site_occupancy
Ag1 0.000 0.000 0.000 1
Sn1 0.500 0.500 0.500 1
As1 0.000 0.500 0.500 1
```

Calculated values
- energy of formation from the pure elements (eV/atom) = 1.13
- mass density (Mg/m³) = 5.429